Entry from Alexandria via LeMat-Bulk: a relaxed YZr3 crystal (PBE).

Offset from the most stable computed form   227 meV per atom
Mass density   6.1 g/cm³
ΔH_f (0 K)   280 meV/atom

abc: 5.809 5.809 5.809
angles: 90.00 90.00 90.00
Atoms (fractional coordinates):
Y1 0.000 0.000 0.000
Y2 0.500 0.500 0.500
Zr1 0.000 0.250 0.500
Zr2 0.000 0.750 0.500
Zr3 0.250 0.500 0.000
Zr4 0.500 0.000 0.250
Zr5 0.500 0.000 0.750
Zr6 0.750 0.500 0.000

Entry from Alexandria via LeMat-Bulk: a relaxed Dy2TcC crystal (PBE).

Mass density   8.7 g/cm³
ΔH_f (0 K)   529 meV/atom

abc: 8.473 8.473 8.473
angles: 23.18 23.18 23.18
Atoms (fractional coordinates):
Dy1 0.111 0.111 0.111
Dy2 0.889 0.889 0.889
Tc1 0.000 0.000 0.000
C1 0.500 0.500 0.500

Entry from Alexandria via LeMat-Bulk: a relaxed ScS2BrCl crystal (PBE).

Offset from the most stable computed form   0 meV per atom
Mass density   2.9 g/cm³

abc: 5.126 5.126 4.887
angles: 90.00 90.00 90.00
Atoms (fractional coordinates):
Sc1 0.000 0.000 0.000
S1 0.000 0.500 0.000
S2 0.500 0.000 0.000
Br1 0.500 0.500 0.500
Cl1 0.000 0.000 0.500

Entry from Alexandria via LeMat-Bulk: a relaxed Ca2PuAgSe4 crystal (PBE).

Calculated total energy   -5.81 eV per atom
Mass density   6.0 g/cm³

abc: 7.169 4.218 7.247
angles: 90.00 109.85 90.00
Atoms (fractional coordinates):
Ca1 0.000 0.000 0.000
Ca2 0.500 0.500 0.000
Pu1 0.000 0.500 0.500
Ag1 0.500 0.000 0.500
Se1 0.243 0.000 0.748
Se2 0.250 0.500 0.255
Se3 0.750 0.500 0.745
Se4 0.757 0.000 0.252

Entry from Alexandria via LeMat-Bulk: a relaxed AcIn8Hg6 crystal (PBE).

Mass density   8.8 g/cm³
ΔH_f (0 K)   -55 meV/atom

abc: 8.227 8.227 8.227
angles: 65.89 65.89 65.89
Atoms (fractional coordinates):
Ac1 0.000 0.000 0.000
In1 0.127 0.742 0.424
In2 0.258 0.576 0.873
In3 0.333 0.333 0.333
In4 0.424 0.127 0.742
In5 0.576 0.873 0.258
In6 0.667 0.667 0.667
In7 0.742 0.424 0.127
In8 0.873 0.258 0.576
Hg1 0.049 0.432 0.758
Hg2 0.242 0.951 0.568
Hg3 0.432 0.758 0.049
Hg4 0.568 0.242 0.951
Hg5 0.758 0.049 0.432
Hg6 0.951 0.568 0.242

Entry from Alexandria via LeMat-Bulk: a relaxed HoH8PdRh2 crystal (PBE).

Calculated total energy   -4.48 eV per atom
Mass density   7.8 g/cm³

abc: 5.857 5.857 5.857
angles: 48.37 48.37 48.37
Atoms (fractional coordinates):
Ho1 0.000 0.000 0.000
H1 0.120 0.407 0.822
H2 0.178 0.880 0.593
H3 0.318 0.318 0.318
H4 0.407 0.822 0.120
H5 0.593 0.178 0.880
H6 0.682 0.682 0.682
H7 0.822 0.120 0.407
H8 0.880 0.593 0.178
Pd1 0.500 0.500 0.500
Rh1 0.211 0.211 0.211
Rh2 0.789 0.789 0.789

Entry from Alexandria via LeMat-Bulk: a relaxed TlSbPt4 crystal (PBE).

Calculated total energy   -5.14 eV per atom
Mass density   16.2 g/cm³

abc: 5.437 5.437 5.437
angles: 60.00 60.00 60.00
Atoms (fractional coordinates):
Tl1 0.000 0.000 0.000
Sb1 0.250 0.250 0.250
Pt1 0.125 0.625 0.625
Pt2 0.625 0.125 0.625
Pt3 0.625 0.625 0.125
Pt4 0.625 0.625 0.625

Entry from Alexandria via LeMat-Bulk: a relaxed LiAlAu4 crystal (PBE).

Offset from the most stable computed form   0 meV per atom
Mass density   13.8 g/cm³
ΔH_f (0 K)   -383 meV/atom

abc: 5.361 5.361 6.246
angles: 106.74 106.74 35.27
Atoms (fractional coordinates):
Li1 0.000 0.000 0.000
Al1 0.000 0.000 0.500
Au1 0.344 0.344 0.175
Au2 0.353 0.353 0.675
Au3 0.647 0.647 0.325
Au4 0.656 0.656 0.825